# 1
The following is a SCAN calculation of a PBEsol-optimized structure of HgWCl2, from Alexandria.

Lattice parameters (Å, degrees): 4.824 4.824 4.824 60.00 60.00 60.00
Fractional coordinates of all 4 atoms:
1 Hg 0.500 0.500 0.500
2 W 0.250 0.250 0.250
3 Cl 0.000 0.000 0.000
4 Cl 0.750 0.750 0.750

- Theoretical density: 9.524 Mg/m³
- M_tot: 4.0 μB/f.u.
- Raw formation energy: 1.019 eV per atom
- SG: F-43m (216)


# 2
The following is a SCAN calculation of a PBEsol-optimized structure of HgW2Cl, from Alexandria.

Lattice parameters (Å, degrees): 2.929 4.792 5.739 113.37 102.78 94.68
Fractional coordinates of all 4 atoms:
1 Hg 0.500 0.500 0.000
2 W 0.000 0.000 0.500
3 W 0.500 0.500 0.500
4 Cl 0.000 0.000 0.000

- Theoretical density: 14.156 Mg/m³
- M_tot: 0.0 μB/f.u.
- Raw formation energy: 1.164 eV per atom
- SG: C2/m (12)


# 3
The following is a SCAN calculation of a PBEsol-optimized structure of Hg2WCl, from Alexandria.

Lattice parameters (Å, degrees): 2.921 2.921 9.527 90.00 90.00 90.00
Fractional coordinates of all 4 atoms:
1 Hg 0.000 0.000 0.015
2 Hg 0.500 0.500 0.297
3 W 0.000 0.000 0.517
4 Cl 0.500 0.500 0.672

- Theoretical density: 12.674 Mg/m³
- M_tot: 0.0 μB/f.u.
- Raw formation energy: 0.500 eV per atom
- SG: P4mm (99)


# 4
The following is a SCAN calculation of a PBEsol-optimized structure of Hg2WCl, from Alexandria.

Lattice parameters (Å, degrees): 3.977 3.977 5.669 110.53 110.53 90.00
Fractional coordinates of all 4 atoms:
1 Hg 0.750 0.250 0.500
2 Hg 0.250 0.750 0.500
3 W 0.500 0.500 0.000
4 Cl 0.000 0.000 0.000

- Theoretical density: 13.232 Mg/m³
- M_tot: 3.2 μB/f.u.
- Raw formation energy: 1.146 eV per atom
- SG: I4/mmm (139)


# 5
The following is a SCAN calculation of a PBEsol-optimized structure of Hg2WCl, from Alexandria.

Lattice parameters (Å, degrees): 3.071 4.367 5.745 90.00 105.50 90.00
Fractional coordinates of all 4 atoms:
1 Hg 0.070 0.000 0.141
2 Hg 0.421 0.500 0.842
3 W 0.808 0.000 0.616
4 Cl 0.698 0.500 0.396

- Theoretical density: 13.877 Mg/m³
- M_tot: 0.0 μB/f.u.
- Raw formation energy: 0.587 eV per atom
- SG: Amm2 (38)


# 6
The following is a SCAN calculation of a PBEsol-optimized structure of YHgCl2, from Alexandria.

Lattice parameters (Å, degrees): 3.684 3.647 10.242 90.00 90.00 120.34
Fractional coordinates of all 4 atoms:
1 Y 0.500 0.000 0.000
2 Hg 0.500 0.000 0.500
3 Cl 0.000 0.000 0.816
4 Cl 0.000 0.000 0.184

- Theoretical density: 5.038 Mg/m³
- M_tot: 0.0 μB/f.u.
- Raw formation energy: -1.439 eV per atom
- SG: Cmmm (65)


# 7
The following is a SCAN calculation of a PBEsol-optimized structure of Y4HgCl, from Alexandria.

Lattice parameters (Å, degrees): 6.241 6.241 6.241 60.00 60.00 60.00
Fractional coordinates of all 6 atoms:
1 Cl 0.750 0.750 0.750
2 Hg 0.000 0.000 0.000
3 Y 0.373 0.373 0.373
4 Y 0.373 0.373 0.880
5 Y 0.880 0.373 0.373
6 Y 0.373 0.880 0.373

- Theoretical density: 5.716 Mg/m³
- M_tot: 0.0 μB/f.u.
- Raw formation energy: 0.252 eV per atom
- SG: F-43m (216)


# 8
The following is a SCAN calculation of a PBEsol-optimized structure of YHgCl2, from Alexandria.

Lattice parameters (Å, degrees): 3.649 3.862 8.907 90.00 89.86 90.00
Fractional coordinates of all 4 atoms:
1 Y 0.000 0.500 0.000
2 Hg 0.500 0.500 0.500
3 Cl 0.004 0.000 0.197
4 Cl 0.996 0.000 0.803

- Theoretical density: 4.768 Mg/m³
- M_tot: 0.0 μB/f.u.
- Raw formation energy: -1.487 eV per atom
- SG: P2/m (10)